Material: BaOs2Cl
Method: DFT, PBE
State: optimized geometry

a b c (Å): 4.8844 4.8844 4.8844
angles (deg): 60.00 60.00 60.00
Last column: nearest neighbours and their distance in Å.
Sites, in units of the cell vectors:
1 Ba 0.0000 0.0000 0.0000  4 Cl 2.99, 4 Os 2.99
2 Os 0.2500 0.2500 0.2500  4 Ba 2.99, 4 Os 2.99
3 Os 0.5000 0.5000 0.5000  4 Cl 2.99, 4 Os 2.99
4 Cl 0.7500 0.7500 0.7500  4 Ba 2.99, 4 Os 2.99

Values from the calculation:
**DOS(E_F)**: 5.896 states/eV per cell
**Formation energy (no corrections)**: 1.23 eV/atom
**Symmetry**: F-43m (216)